# KZrCr2 | Alexandria via LeMat-Bulk | PBEsol | optimized geometry
# Energy relative to the elements, eV/atom: 1.4357
# Energy relative to the lowest polymorph listed for this composition, meV/atom: 770.3
# Crystal system: cubic
# Volume, A^3/atom: 20.58
data_KZrCr2
_chemical_formula_sum 'K4 Zr4 Cr8'
_cell_length_a 6.906
_cell_length_b 6.906
_cell_length_c 6.906
_cell_angle_alpha 90.00
_cell_angle_beta 90.00
_cell_angle_gamma 90.00
_space_group_name_H-M_alt 'F m -3 m'
_space_group_IT_number 225
_space_group_name_Hall '-F 4 2 3'
loop_
_atom_site_label
_atom_site_type_symbol
_atom_site_fract_x
_atom_site_fract_y
_atom_site_fract_z
K1 K 0.000 0.000 0.000
Zr1 Zr 0.000 0.000 0.500
Cr1 Cr 0.250 0.250 0.250